First-principles (PBE) data for a geometry-optimized YCd2 structure, as listed in the Open Quantum Materials Database.

Unit cell a=5.868 b=5.868 c=5.868 alpha=60.00 beta=60.00 gamma=60.00
Fractional coordinates of all 6 atoms:
Y 0.250 0.250 0.250
Cd 0.625 0.625 0.625
Cd 0.125 0.625 0.625
Y 0.000 0.000 0.000
Cd 0.625 0.625 0.125
Cd 0.625 0.125 0.625

energy of formation	-0.87	eV/f.u.
volume	23.814	Å³ per atom